Crystalline MgHg5Pb2 at its relaxed geometry. Source: Alexandria via LeMat-Bulk, functional PBE.

Results
Formation enthalpy at 0 K   -0.01 eV per atom
Volume   25.80 Å³/atom
Fermi-level density of states   0.35 states/eV/atom

a = 6.7227 Å, b = 6.7557 Å, c = 9.5943 Å
α = 90.00°, β = 108.66°, γ = 90.00°
Last column: nearest neighbours and their distance in Å.
Space group C2/m (No. 12)
Symmetry-distinct sites (fractional):
Mg (0.0000, 0.0000, 0.0000)  12 Hg 3.11-3.38
Hg (0.0000, 0.5000, 0.0000)  8 Hg 3.13-3.19, 4 Mg 3.36-3.38
Hg (0.1337, 0.2473, 0.7719)  2 Mg 3.11-3.21, 6 Hg 3.13-3.41, 2 Pb 3.32-3.37
Pb (0.2440, 0.0000, 0.4859)  8 Hg 3.32-3.56, 4 Pb 3.37-3.39